Material: Sm3Tm5Zr12
Method: DFT, PBE
State: optimized geometry

Output
calculated total energy = -0.4206 Ry per atom
volume = 2841 Å³ per cell
SG = Ia-3d, No. 230
E_form = 119 kJ per mole of atoms

a b c (Å): 15.4545 15.4545 15.4545
angles (deg): 109.47 109.47 109.47
Fractional coordinates of all 80 atoms:
Sm 0.7500 0.3750 0.1250
Sm 0.8750 0.7500 0.1250
Sm 0.3750 0.7500 0.6250
Sm 0.2500 0.1250 0.3750
Sm 0.8750 0.1250 0.2500
Sm 0.3750 0.6250 0.2500
Sm 0.6250 0.3750 0.7500
Sm 0.1250 0.8750 0.7500
Sm 0.7500 0.8750 0.6250
Sm 0.6250 0.2500 0.3750
Sm 0.1250 0.2500 0.8750
Sm 0.2500 0.6250 0.8750
Tm 0.1250 0.3750 0.2500
Tm 0.0000 0.5000 0.0000
Tm 0.0000 0.0000 0.0000
Tm 0.3750 0.2500 0.1250
Tm 0.5000 0.0000 0.5000
Tm 0.5000 0.5000 0.0000
Tm 0.1250 0.7500 0.3750
Tm 0.7500 0.1250 0.8750
Tm 0.7500 0.6250 0.3750
Tm 0.3750 0.1250 0.7500
Tm 0.6250 0.8750 0.2500
Tm 0.5000 0.5000 0.5000
Tm 0.5000 0.0000 0.0000
Tm 0.0000 0.0000 0.5000
Tm 0.2500 0.3750 0.6250
Tm 0.2500 0.8750 0.1250
Tm 0.0000 0.5000 0.5000
Tm 0.8750 0.2500 0.6250
Tm 0.6250 0.7500 0.8750
Tm 0.8750 0.6250 0.7500
Zr 0.7273 0.1526 0.0869
Zr 0.3597 0.5869 0.4344
Zr 0.9131 0.3474 0.2727
Zr 0.5869 0.2273 0.1526
Zr 0.5747 0.7273 0.6403
Zr 0.9131 0.5656 0.1403
Zr 0.3597 0.7727 0.4253
Zr 0.0656 0.9253 0.1526
Zr 0.5656 0.9131 0.6403
Zr 0.7273 0.5747 0.1403
Zr 0.7727 0.4131 0.3474
Zr 0.8597 0.9344 0.0869
Zr 0.1526 0.7273 0.5869
Zr 0.3474 0.4344 0.0747
Zr 0.0747 0.9344 0.3474
Zr 0.4253 0.1526 0.5656
Zr 0.0747 0.1403 0.2273
Zr 0.4131 0.6403 0.0656
Zr 0.8597 0.9253 0.2727
Zr 0.1526 0.4253 0.0656
Zr 0.3474 0.9131 0.7727
Zr 0.5656 0.6526 0.4253
Zr 0.9344 0.8597 0.5869
Zr 0.7727 0.3597 0.9253
Zr 0.4344 0.3474 0.5747
Zr 0.0656 0.1403 0.4131
Zr 0.2273 0.6403 0.0747
Zr 0.1403 0.0747 0.7273
Zr 0.6526 0.0869 0.2273
Zr 0.8474 0.5747 0.9344
Zr 0.5869 0.3597 0.9344
Zr 0.5747 0.8474 0.4344
Zr 0.9253 0.8597 0.7727
Zr 0.9253 0.0656 0.6526
Zr 0.8474 0.2727 0.4131
Zr 0.1403 0.0656 0.9131
Zr 0.6526 0.5656 0.9253
Zr 0.4344 0.0869 0.3597
Zr 0.2727 0.4253 0.8597
Zr 0.2273 0.5869 0.6526
Zr 0.9344 0.0747 0.8474
Zr 0.6403 0.2273 0.5747
Zr 0.4131 0.7727 0.8474
Zr 0.0869 0.4344 0.8597
Zr 0.4253 0.2727 0.3597
Zr 0.0869 0.6526 0.7273
Zr 0.6403 0.4131 0.5656
Zr 0.2727 0.8474 0.9131